# Sm6ZnOs2 (PBE-GGA, relaxed)
# * formation enthalpy at 0 K: -0.17 eV per atom
# * calculated volume: 27.037 A^3/atom
data_Sm6ZnOs2
_chemical_formula_sum 'Sm24 Zn4 Os8'
_space_group_name_H-M_alt 'I m m m'
_space_group_IT_number 71
_space_group_name_Hall '-I 2 2'
_cell_length_a 9.6219
_cell_length_b 9.6230
_cell_length_c 10.5120
_cell_angle_alpha 90.00
_cell_angle_beta 90.00
_cell_angle_gamma 90.00
loop_
_atom_site_label
_atom_site_fract_x
_atom_site_fract_y
_atom_site_fract_z
Sm1 0.0000 0.1862 0.1715
Sm2 0.1812 0.2260 0.5000
Sm3 0.1983 0.5000 0.2565
Zn1 0.0000 0.5000 0.0000
Zn2 0.0000 0.5000 0.5000
Os1 0.0000 0.0000 0.3815
Os2 0.1774 0.0000 0.0000